This record from Alexandria describes an optimized crystal structure of MgZnAg2. The functional is PBE-GGA.

Crystal system = cubic
Formation enthalpy at 0 K = -0.10 eV/atom
SG = F-43m, No. 216
DOS at the Fermi energy = 3.54 states/eV/cell
Calculated density = 7.261 g/cm³

Cell lengths 6.538, 6.538, 6.538 Å; angles 90.00, 90.00, 90.00 degrees
Fractional coordinates of all 16 atoms:
Mg1 0.000 0.000 0.000
Mg2 0.000 0.500 0.500
Mg3 0.500 0.000 0.500
Mg4 0.500 0.500 0.000
Zn1 0.250 0.250 0.750
Zn2 0.250 0.750 0.250
Zn3 0.750 0.250 0.250
Zn4 0.750 0.750 0.750
Ag1 0.000 0.000 0.500
Ag2 0.000 0.500 0.000
Ag3 0.250 0.250 0.250
Ag4 0.250 0.750 0.750
Ag5 0.500 0.000 0.000
Ag6 0.500 0.500 0.500
Ag7 0.750 0.250 0.750
Ag8 0.750 0.750 0.250